1.
Material: Th6TlRu2Se3
Method: DFT, PBE
State: relaxed

## Properties
E   -87.1 eV/cell
Crystal system   monoclinic
SG   No. 12
Formation energy without anion corrections   -90.02 kJ/mol of atoms
Theoretical density   10.08 g/cm3

```
Th6TlRu2Se3
1.0
4.1613 0.0000 0.0000
0.0000 8.8896 0.1731
-2.0806 -2.7242 9.0162
Th Tl Ru Se
6 1 2 3
Direct
0.3269 0.8790 0.6537
0.6759 0.5698 0.3517
0.6731 0.1210 0.3463
0.0150 0.2723 0.0301
0.9850 0.7277 0.9699
0.3241 0.4302 0.6483
0.5000 0.0000 0.0000
0.8292 0.6592 0.6584
0.1708 0.3408 0.3416
0.5000 0.5000 0.0000
0.8410 0.1604 0.6819
0.1590 0.8396 0.3181
```


2.
Material: MgHg2P
Method: DFT, PBE
State: relaxed

## Properties
E   -8.0 eV/cell
Energy of formation   -0.089 eV per atom
Crystal system   monoclinic
SG   No. 8
Theoretical density   7.22 g/cm3

```
MgHg2P
1.0
-2.3719 3.1007 -1.9971
-4.3457 0.2523 0.5286
1.0986 3.7417 5.0784
Hg Mg P
2 1 1
Direct
0.1185 0.1185 0.9826
0.7850 0.7850 0.7332
0.4626 0.4626 0.3983
0.1340 0.1340 0.3859
```


3.
Material: Ce6PSe2S3
Method: DFT, PBE
State: relaxed

## Properties
E   -83.0 eV/cell
Crystal system   monoclinic
SG   No. 12
Formation energy without anion corrections   -181.80 kJ/mol of atoms
Theoretical density   6.43 g/cm3

```
Ce6PSe2S3
1.0
-3.9247 0.3796 -1.0801
-2.2067 -4.6318 6.3905
1.8426 8.0748 3.8803
Ce P Se S
6 1 2 3
Direct
0.3342 0.9270 0.6684
0.6628 0.5926 0.3256
0.6658 0.0730 0.3316
0.9967 0.2466 0.9934
0.0033 0.7534 0.0066
0.3372 0.4074 0.6744
0.5000 0.0000 0.0000
0.8332 0.6659 0.6664
0.1668 0.3341 0.3336
0.5000 0.5000 0.0000
0.8323 0.1658 0.6647
0.1677 0.8342 0.3353
```


4.
Material: ZrZnMo3
Method: DFT, PBE
State: relaxed

## Properties
E   -32.1 eV/cell
Energy of formation   2.045 eV per atom
Crystal system   cubic
E above lowest polymorph   16.91 kcal/mol of atoms
SG   No. 221
Theoretical density   6.63 g/cm3

```
ZrZnMo3
1.0
4.8105 0.0000 0.0000
0.0000 4.8105 0.0000
0.0000 0.0000 4.8105
Mo Zn Zr
3 1 1
Direct
0.0000 0.5000 0.0000
0.0000 0.0000 0.5000
0.5000 0.0000 0.0000
0.5000 0.5000 0.5000
0.0000 0.0000 0.0000
```


5.
Material: Tb4Nd15Y
Method: DFT, PBE
State: relaxed

## Properties
E   -96.3 eV/cell
Energy of formation   0.012 eV per atom
Crystal system   tetragonal
SG   No. 123
Theoretical density   6.96 g/cm3

```
Tb4Nd15Y
1.0
5.1737 0.0000 0.0000
0.0000 5.1737 0.0000
0.0000 0.0000 25.7566
Tb Nd Y
4 15 1
Direct
0.0000 0.0000 0.2001
0.0000 0.0000 0.4001
0.0000 0.0000 0.5999
0.0000 0.0000 0.7999
0.5000 0.5000 0.0000
0.5000 0.5000 0.2002
0.5000 0.5000 0.4001
0.5000 0.5000 0.5999
0.5000 0.5000 0.7998
0.5000 0.0000 0.1002
0.5000 0.0000 0.3001
0.5000 0.0000 0.5000
0.5000 0.0000 0.6999
0.5000 0.0000 0.8998
0.0000 0.5000 0.1002
0.0000 0.5000 0.3001
0.0000 0.5000 0.5000
0.0000 0.5000 0.6999
0.0000 0.5000 0.8998
0.0000 0.0000 0.0000
```


6.
Material: NbGa3Sn
Method: DFT, PBE
State: relaxed

## Properties
E   -21.0 eV/cell
Energy of formation   0.430 eV per atom
Crystal system   cubic
E above lowest polymorph   0.00 kcal/mol of atoms
SG   No. 221
Theoretical density   5.41 g/cm3

```
NbGa3Sn
1.0
-1.6236 -2.5575 4.0479
2.5735 -4.0705 -1.5395
4.0377 1.5661 2.6090
Nb Sn Ga
1 1 3
Direct
0.0000 0.0000 0.0000
0.5000 0.5000 0.5000
0.0000 0.5000 0.0000
0.0000 0.0000 0.5000
0.5000 0.0000 0.0000
```


7.
Material: ZnRh3W
Method: DFT, PBE
State: relaxed

## Properties
E   -29.9 eV/cell
Energy of formation   1.271 eV per atom
Crystal system   cubic
E above lowest polymorph   4.52 kcal/mol of atoms
SG   No. 221
Theoretical density   10.83 g/cm3

```
ZnRh3W
1.0
4.4068 0.0000 0.0000
0.0000 4.4068 0.0000
0.0000 0.0000 4.4068
Zn Rh W
1 3 1
Direct
0.0000 0.0000 0.0000
0.0000 0.5000 0.0000
0.0000 0.0000 0.5000
0.5000 0.0000 0.0000
0.5000 0.5000 0.5000
```


8.
Material: Nd2Re3Os
Method: DFT, PBE
State: relaxed

## Properties
E   -58.1 eV/cell
Energy of formation   -0.002 eV per atom
Crystal system   monoclinic
SG   No. 12
Theoretical density   14.72 g/cm3

```
Nd2Re3Os
1.0
0.8532 -0.1437 -5.2660
-2.0409 -4.2642 2.4761
-4.2617 3.1755 1.9270
Nd Re Os
2 3 1
Direct
0.7458 0.3731 0.1189
0.2542 0.6269 0.8811
0.5000 0.5000 0.5000
0.0000 0.0000 0.5000
0.5000 0.0000 0.5000
0.0000 0.0000 0.0000
```


> Which value of theoretical density does entry 1 give?

10.08 g/cm3


> What is the theoretical density in the eighth record?

14.72 g/cm3


> What is the formula in the eighth record?

Nd2Re3Os